No. 1
# UTi3, optimized geometry, DFT PBE-GGA
data_UTi3
_chemical_formula_sum 'U2 Ti6'
_cell_length_a 2.8105
_cell_length_b 9.4899
_cell_length_c 5.3554
_cell_angle_alpha 90.00
_cell_angle_beta 90.00
_cell_angle_gamma 90.00
_symmetry_space_group_name_H-M 'I m m 2'
_symmetry_Int_Tables_number 44
loop_
_symmetry_equiv_pos_as_xyz
'x,y,z'
'-x,-y,z'
'-x,y,z'
'x,-y,z'
'x+1/2,y+1/2,z+1/2'
'-x+1/2,-y+1/2,z+1/2'
'-x+1/2,y+1/2,z+1/2'
'x+1/2,-y+1/2,z+1/2'
loop_
_atom_site_label
_atom_site_fract_x
_atom_site_fract_y
_atom_site_fract_z
U1 0.0000 0.0000 0.0000
Ti1 0.0000 0.2409 0.2540
Ti2 0.0000 0.5000 0.0044
# Formation enthalpy at 0 K = 0.102 eV/atom
# Excess energy over the best structure of this formula in the dataset = 0.00 kcal/mol of atoms
# Uncorrected energy = -8.641 eV/atom
# Density of states at the Fermi level = 14.4 states/eV/cell
# Calculated volume = 17.855 Å³ per atom
# Calculated density = 8.9 g/cm³

***

No. 2
# Ba3TbIr2O9, optimized geometry, DFT PBE-GGA
data_Ba3TbIr2O9
_chemical_formula_sum 'Ba3 Tb1 Ir2 O9'
_cell_length_a 5.8995
_cell_length_b 5.8995
_cell_length_c 7.2458
_cell_angle_alpha 90.00
_cell_angle_beta 90.00
_cell_angle_gamma 120.00
_symmetry_space_group_name_H-M 'P -3 m 1'
_symmetry_Int_Tables_number 164
_symmetry_space_group_name_Hall '-P 3 2"'
loop_
_atom_site_label
_atom_site_fract_x
_atom_site_fract_y
_atom_site_fract_z
Ba1 0.0000 0.0000 0.0000
Ba2 0.3333 0.6667 0.6737
Tb1 0.0000 0.0000 0.5000
Ir1 0.3333 0.6667 0.1581
O1 0.0000 0.5000 0.0000
O2 0.1766 0.3533 0.3189
# Raw formation energy = -2.07 eV per atom
# Uncorrected energy = -6.922 eV/atom
# Density of states at the Fermi level = 4.3 states/eV/cell
# Calculated volume = 14.560 Å³ per atom
# Calculated density = 8.4 g/cm³

***

No. 3
# ZrTaFeRu, optimized geometry, DFT PBE-GGA
data_ZrTaFeRu
_chemical_formula_sum 'Zr1 Ta1 Fe1 Ru1'
_cell_length_a 3.1583
_cell_length_b 3.1583
_cell_length_c 6.4468
_cell_angle_alpha 90.00
_cell_angle_beta 90.00
_cell_angle_gamma 90.00
_symmetry_space_group_name_H-M 'P 4 m m'
_symmetry_Int_Tables_number 99
loop_
_symmetry_equiv_pos_as_xyz
'x,y,z'
'-y,x,z'
'-x,-y,z'
'y,-x,z'
'-x,y,z'
'y,x,z'
'x,-y,z'
'-y,-x,z'
loop_
_atom_site_label
_atom_site_fract_x
_atom_site_fract_y
_atom_site_fract_z
Zr1 0.0000 0.0000 0.0000
Ta1 0.0000 0.0000 0.4829
Fe1 0.5000 0.5000 0.2599
Ru1 0.5000 0.5000 0.7275
# Formation enthalpy at 0 K = -0.338 eV/atom
# Excess energy over the best structure of this formula in the dataset = 0.00 kcal/mol of atoms
# Uncorrected energy = -9.872 eV/atom
# Density of states at the Fermi level = 2.7 states/eV/cell
# Calculated volume = 16.076 Å³ per atom
# Calculated density = 11.1 g/cm³

***

No. 4
# Zr2PtPb, optimized geometry, DFT PBE-GGA
data_Zr2PtPb
_chemical_formula_sum 'Zr2 Pt1 Pb1'
_cell_length_a 3.1877
_cell_length_b 5.0440
_cell_length_c 5.2355
_cell_angle_alpha 90.00
_cell_angle_beta 92.67
_cell_angle_gamma 90.00
_symmetry_space_group_name_H-M 'P 1 m 1'
_symmetry_Int_Tables_number 6
loop_
_symmetry_equiv_pos_as_xyz
'x,y,z'
'x,-y,z'
loop_
_atom_site_label
_atom_site_fract_x
_atom_site_fract_y
_atom_site_fract_z
Zr1 0.0000 0.0000 0.0000
Zr2 0.1057 0.5000 0.6303
Pt1 0.5007 0.0000 0.4958
Pb1 0.5552 0.5000 0.1343
# Formation enthalpy at 0 K = -0.381 eV/atom
# Uncorrected energy = -7.092 eV/atom
# Density of states at the Fermi level = 4.2 states/eV/cell
# Calculated volume = 21.022 Å³ per atom
# Calculated density = 11.5 g/cm³

***

No. 5
# Nd2Sm2Y4Er, optimized geometry, DFT PBE-GGA
data_Nd2Sm2Y4Er
_chemical_formula_sum 'Nd4 Sm4 Y8 Er2'
_cell_length_a 18.8583
_cell_length_b 3.6340
_cell_length_c 9.6616
_cell_angle_alpha 90.00
_cell_angle_beta 115.72
_cell_angle_gamma 90.00
_symmetry_space_group_name_H-M 'C 1 2/m 1'
_symmetry_Int_Tables_number 12
loop_
_symmetry_equiv_pos_as_xyz
'x,y,z'
'-x,-y,-z'
'-x,y,-z'
'x,-y,z'
'x+1/2,y+1/2,z'
'-x+1/2,-y+1/2,-z'
'-x+1/2,y+1/2,-z'
'x+1/2,-y+1/2,z'
loop_
_atom_site_label
_atom_site_fract_x
_atom_site_fract_y
_atom_site_fract_z
Nd1 0.1649 0.0000 0.4993
Sm1 0.1477 0.5000 0.1642
Y1 0.0193 0.0000 0.8327
Y2 0.1849 0.5000 0.8345
Er1 0.0000 0.5000 0.5000
# Formation enthalpy at 0 K = 0.001 eV/atom
# Uncorrected energy = -5.487 eV/atom
# Density of states at the Fermi level = 25.6 states/eV/cell
# Calculated volume = 33.139 Å³ per atom
# Calculated density = 6.2 g/cm³

***

No. 6
# BaMgTlRe2, optimized geometry, DFT PBE-GGA
data_BaMgTlRe2
_chemical_formula_sum 'Ba1 Mg1 Tl1 Re2'
_cell_length_a 5.2135
_cell_length_b 5.2135
_cell_length_c 6.0074
_cell_angle_alpha 90.00
_cell_angle_beta 90.00
_cell_angle_gamma 90.00
_symmetry_space_group_name_H-M 'P 4/m m m'
_symmetry_Int_Tables_number 123
_symmetry_space_group_name_Hall '-P 4 2'
loop_
_atom_site_label
_atom_site_fract_x
_atom_site_fract_y
_atom_site_fract_z
Ba1 0.0000 0.0000 0.0000
Mg1 0.5000 0.5000 0.0000
Tl1 0.0000 0.0000 0.5000
Re1 0.0000 0.5000 0.5000
# Formation enthalpy at 0 K = 2.154 eV/atom
# Uncorrected energy = -4.002 eV/atom
# Density of states at the Fermi level = 8.9 states/eV/cell
# Calculated volume = 32.657 Å³ per atom
# Calculated density = 7.5 g/cm³

***

No. 7
# Pm2PuRu, optimized geometry, DFT PBE-GGA
data_Pm2PuRu
_chemical_formula_sum 'Pm6 Pu3 Ru3'
_cell_length_a 3.5095
_cell_length_b 3.5095
_cell_length_c 32.1213
_cell_angle_alpha 90.00
_cell_angle_beta 90.00
_cell_angle_gamma 120.00
_symmetry_space_group_name_H-M 'R -3 m'
_symmetry_Int_Tables_number 166
_symmetry_space_group_name_Hall '-R 3 2"'
loop_
_atom_site_label
_atom_site_fract_x
_atom_site_fract_y
_atom_site_fract_z
Pm1 0.0000 0.0000 0.1048
Pu1 0.0000 0.0000 0.0000
Ru1 0.0000 0.0000 0.5000
# Formation enthalpy at 0 K = 0.297 eV/atom
# Excess energy over the best structure of this formula in the dataset = 7.25 kcal/mol of atoms
# Uncorrected energy = -7.980 eV/atom
# Density of states at the Fermi level = 38.4 states/eV/cell
# Calculated volume = 28.552 Å³ per atom
# Calculated density = 9.2 g/cm³

***

No. 8
# BaSbPb4, optimized geometry, DFT PBE-GGA
data_BaSbPb4
_chemical_formula_sum 'Ba4 Sb4 Pb16'
_cell_length_a 9.3413
_cell_length_b 9.3413
_cell_length_c 9.3413
_cell_angle_alpha 90.00
_cell_angle_beta 90.00
_cell_angle_gamma 90.00
_symmetry_space_group_name_H-M 'F -4 3 m'
_symmetry_Int_Tables_number 216
_symmetry_space_group_name_Hall 'F -4 2 3'
loop_
_atom_site_label
_atom_site_fract_x
_atom_site_fract_y
_atom_site_fract_z
Ba1 0.0000 0.0000 0.0000
Sb1 0.2500 0.2500 0.2500
Pb1 0.1243 0.1243 0.6243
# Raw formation energy = -0.13 eV per atom
# Uncorrected energy = -3.606 eV/atom
# Density of states at the Fermi level = 19.9 states/eV/cell
# Calculated volume = 33.964 Å³ per atom
# Calculated density = 8.9 g/cm³

***

No. 9
# As3C, optimized geometry, DFT PBE-GGA
data_As3C
_chemical_formula_sum 'As6 C2'
_cell_length_a 2.9279
_cell_length_b 8.3378
_cell_length_c 6.0252
_cell_angle_alpha 90.00
_cell_angle_beta 90.00
_cell_angle_gamma 90.00
_symmetry_space_group_name_H-M 'I m m 2'
_symmetry_Int_Tables_number 44
loop_
_symmetry_equiv_pos_as_xyz
'x,y,z'
'-x,-y,z'
'-x,y,z'
'x,-y,z'
'x+1/2,y+1/2,z+1/2'
'-x+1/2,-y+1/2,z+1/2'
'-x+1/2,y+1/2,z+1/2'
'x+1/2,-y+1/2,z+1/2'
loop_
_atom_site_label
_atom_site_fract_x
_atom_site_fract_y
_atom_site_fract_z
As1 0.0000 0.0000 0.0000
As2 0.0000 0.1559 0.6154
C1 0.0000 0.5000 0.9872
# Formation enthalpy at 0 K = 1.005 eV/atom
# Excess energy over the best structure of this formula in the dataset = 10.70 kcal/mol of atoms
# Uncorrected energy = -4.788 eV/atom
# Density of states at the Fermi level = 2.6 states/eV/cell
# Calculated volume = 18.386 Å³ per atom
# Calculated density = 5.3 g/cm³

***

No. 10
# BaCd8Pb2, optimized geometry, DFT PBE-GGA
data_BaCd8Pb2
_chemical_formula_sum 'Ba2 Cd16 Pb4'
_cell_length_a 6.3066
_cell_length_b 9.4504
_cell_length_c 11.0494
_cell_angle_alpha 90.00
_cell_angle_beta 90.00
_cell_angle_gamma 90.00
_symmetry_space_group_name_H-M 'C m m m'
_symmetry_Int_Tables_number 65
_symmetry_space_group_name_Hall '-C 2 2'
loop_
_atom_site_label
_atom_site_fract_x
_atom_site_fract_y
_atom_site_fract_z
Ba1 0.0000 0.0000 0.0000
Cd1 0.0000 0.5000 0.3449
Cd2 0.2500 0.2500 0.1996
Cd3 0.2500 0.2500 0.5000
Pb1 0.0000 0.0000 0.3487
# Formation enthalpy at 0 K = -0.025 eV/atom
# Uncorrected energy = -1.540 eV/atom
# Density of states at the Fermi level = 7.3 states/eV/cell
# Calculated volume = 29.934 Å³ per atom
# Calculated density = 7.3 g/cm³

***

No. 11
# PaCr2Tc, optimized geometry, DFT PBE-GGA
data_PaCr2Tc
_chemical_formula_sum 'Pa3 Cr6 Tc3'
_cell_length_a 4.3678
_cell_length_b 4.3678
_cell_length_c 11.2229
_cell_angle_alpha 90.00
_cell_angle_beta 90.00
_cell_angle_gamma 120.00
_symmetry_space_group_name_H-M 'R -3 m'
_symmetry_Int_Tables_number 166
_symmetry_space_group_name_Hall '-R 3 2"'
loop_
_atom_site_label
_atom_site_fract_x
_atom_site_fract_y
_atom_site_fract_z
Pa1 0.0000 0.0000 0.0000
Cr1 0.0000 0.0000 0.2534
Tc1 0.0000 0.0000 0.5000
# Formation enthalpy at 0 K = 0.225 eV/atom
# Excess energy over the best structure of this formula in the dataset = 0.00 kcal/mol of atoms
# Uncorrected energy = -9.553 eV/atom
# Density of states at the Fermi level = 17.8 states/eV/cell
# Calculated volume = 15.452 Å³ per atom
# Calculated density = 11.6 g/cm³

***

No. 12
# K4Ce3PtS8, optimized geometry, DFT PBE-GGA
data_K4Ce3PtS8
_chemical_formula_sum 'K8 Ce6 Pt2 S16'
_cell_length_a 14.8171
_cell_length_b 7.9609
_cell_length_c 8.6429
_cell_angle_alpha 90.00
_cell_angle_beta 120.37
_cell_angle_gamma 90.00
_symmetry_space_group_name_H-M 'C 1 2/m 1'
_symmetry_Int_Tables_number 12
loop_
_symmetry_equiv_pos_as_xyz
'x,y,z'
'-x,-y,-z'
'-x,y,-z'
'x,-y,z'
'x+1/2,y+1/2,z'
'-x+1/2,-y+1/2,-z'
'-x+1/2,y+1/2,-z'
'x+1/2,-y+1/2,z'
loop_
_atom_site_label
_atom_site_fract_x
_atom_site_fract_y
_atom_site_fract_z
K1 0.0000 0.0000 0.0000
K2 0.0000 0.5000 0.0000
K3 0.2500 0.2500 0.0000
Ce1 0.0000 0.0000 0.5000
Ce2 0.2500 0.2500 0.5000
Pt1 0.0000 0.5000 0.5000
S1 0.0231 0.2834 0.3255
S2 0.2228 0.0000 0.2626
S3 0.2250 0.0000 0.7049
# Raw formation energy = -1.48 eV per atom
# Uncorrected energy = -5.306 eV/atom
# Density of states at the Fermi level = 27.2 states/eV/cell
# Calculated volume = 27.488 Å³ per atom
# Calculated density = 3.9 g/cm³

***

Q: Among the records above, which one has the highest calculated density?
A: PaCr2Tc

***

Repeat the tenth record exactly.
# BaCd8Pb2, optimized geometry, DFT PBE-GGA
data_BaCd8Pb2
_chemical_formula_sum 'Ba2 Cd16 Pb4'
_cell_length_a 6.3066
_cell_length_b 9.4504
_cell_length_c 11.0494
_cell_angle_alpha 90.00
_cell_angle_beta 90.00
_cell_angle_gamma 90.00
_symmetry_space_group_name_H-M 'C m m m'
_symmetry_Int_Tables_number 65
_symmetry_space_group_name_Hall '-C 2 2'
loop_
_atom_site_label
_atom_site_fract_x
_atom_site_fract_y
_atom_site_fract_z
Ba1 0.0000 0.0000 0.0000
Cd1 0.0000 0.5000 0.3449
Cd2 0.2500 0.2500 0.1996
Cd3 0.2500 0.2500 0.5000
Pb1 0.0000 0.0000 0.3487
# Formation enthalpy at 0 K = -0.025 eV/atom
# Uncorrected energy = -1.540 eV/atom
# Density of states at the Fermi level = 7.3 states/eV/cell
# Calculated volume = 29.934 Å³ per atom
# Calculated density = 7.3 g/cm³

***

Q: What is the calculated density in the sixth record?
A: 7.5 g/cm³